A geometry-optimized Sm2ZnNi2Rh5 structure. Source: Alexandria via LeMat-Bulk, functional PBE.

Lattice parameters (Å, degrees): 9.2219 9.2219 3.8641 90.00 90.00 90.00
With the nearest neighbours (Å) after each atom.
Space group P4/mbm (No. 127)
Symmetry-distinct sites (fractional):
Sm 0.1763 0.3237 0.0000 [4 per cell]  3 Ni 2.63-2.80
Zn 0.0000 0.0000 0.0000 [2 per cell]  8 Rh 2.77
Ni 0.1220 0.6220 0.0000 [4 per cell]  6 Rh 2.50-2.56, 3 Sm 2.63-2.80
Rh 0.0000 0.5000 0.5000 [2 per cell]  4 Ni 2.50, 4 Rh 2.78
Rh 0.0650 0.7945 0.5000 [8 per cell]  2 Ni 2.56, 2 Zn 2.77, 3 Rh 2.78-2.81

Calculated values
- volume (Å³/cell) = 329
- DFT formation energy (eV/atom) = -0.421
- total energy (eV/atom) = -6.324
- DOS(E_F) (states/eV/f.u.) = 9.71